1.
The following is a DFT calculation (PBE) of a relaxed structure of TmZrZn2Au4. Values from VASP.

Geometry as Quantum ESPRESSO input:
```
&SYSTEM
  ibrav = 0, nat = 8, ntyp = 4
/
ATOMIC_SPECIES
Au 196.97 Au.upf
Tm 168.93 Tm.upf
Zn 65.41 Zn.upf
Zr 91.22 Zr.upf
ATOMIC_POSITIONS crystal
Au 0.5000 0.0000 0.2586
Au 0.0000 0.5000 0.2586
Au 0.5000 0.0000 0.7414
Au 0.0000 0.5000 0.7414
Tm 0.0000 0.0000 0.0000
Zn 0.5000 0.5000 0.0000
Zn 0.0000 0.0000 0.5000
Zr 0.5000 0.5000 0.5000
CELL_PARAMETERS angstrom
4.7385 0.0000 0.0000
0.0000 4.7385 0.0000
0.0000 0.0000 6.6958
```

**Calculated formation energy**: -0.5582 eV/atom
**Space-group type**: P4/mmm (123)
**Crystal system**: tetragonal

2.
The following is a DFT calculation (PBE) of a relaxed structure of Cu3SnSe4. Values from VASP.

Geometry as Quantum ESPRESSO input:
```
&SYSTEM
  ibrav = 0, nat = 8, ntyp = 3
/
ATOMIC_SPECIES
Cu 63.55 Cu.upf
Se 78.96 Se.upf
Sn 118.71 Sn.upf
ATOMIC_POSITIONS crystal
Cu 0.7498 0.7503 0.2482
Cu 0.4988 0.5012 0.5000
Cu 0.2497 0.2502 0.7518
Se 0.6016 0.1338 0.1331
Se 0.3996 0.8679 0.4002
Se 0.1321 0.6004 0.5998
Se 0.8662 0.3984 0.8669
Sn 0.0022 0.9978 0.0000
CELL_PARAMETERS angstrom
6.3573 -2.8369 0.0000
6.3573 2.8369 0.0000
-2.5288 0.0000 5.0820
```

**Space-group type**: C2 (5)
**Crystal system**: monoclinic

| no. | uncorrected energy (eV/cell) |
| --- | --- |
| 1 | -33.08 |
| 2 | -31.39 |